Entry 1:
The following is a PBE calculation of an optimized crystal structure of LiTm2Zn, from Alexandria via LeMat-Bulk.

Cell lengths 5.0356, 5.0356, 5.0356 Å; angles 60.00, 60.00, 60.00 degrees
Fractional coordinates of all 4 atoms:
Tm  0.7500  0.7500  0.7500
Tm  0.2500  0.2500  0.2500
Zn  0.0000  0.0000  0.0000
Li  0.5000  0.5000  0.5000

- formation enthalpy at 0 K (eV per atom) = -0.11
- DFT total energy (eV per cell) = -12.59


Entry 2:
The following is a PBE calculation of an optimized crystal structure of NbHgSeO5, from Alexandria via LeMat-Bulk.

Cell lengths 6.3638, 6.3638, 7.8810 Å; angles 115.48, 115.48, 100.50 degrees
Fractional coordinates of all 16 atoms:
O  0.7067  0.6124  0.2584
Nb  0.0000  0.0000  0.5000
O  0.7216  0.1135  0.4610
O  0.3876  0.2933  0.2416
O  0.6124  0.7067  0.7584
Hg  0.6829  0.3171  0.7500
Nb  0.0000  0.0000  0.0000
O  0.1135  0.7216  0.9610
O  0.2933  0.3876  0.7416
Hg  0.3171  0.6829  0.2500
Se  0.6754  0.3246  0.2500
O  0.2784  0.8865  0.5390
O  0.9799  0.0201  0.2500
O  0.0201  0.9799  0.7500
Se  0.3246  0.6754  0.7500
O  0.8865  0.2784  0.0390

- DFT total energy (eV per cell) = -96.88


Entry 3:
The following is a PBE calculation of an optimized crystal structure of GdTm2Zr, from Alexandria via LeMat-Bulk.

Cell lengths 4.8283, 4.8296, 4.8296 Å; angles 90.00, 90.00, 90.00 degrees
Site moments in Bohr magnetons follow the coordinates.
Fractional coordinates of all 4 atoms:
Gd  0.5000  0.5000  0.5000  -7.11
Tm  0.0000  0.5000  0.0000  0.07
Tm  0.0000  0.0000  0.5000  0.07
Zr  0.5000  0.0000  0.0000  0.14

- formation enthalpy at 0 K (eV per atom) = 0.08
- DFT total energy (eV per cell) = -31.26


Entry 4:
The following is a PBE calculation of an optimized crystal structure of BaTi3As, from Alexandria via LeMat-Bulk.

Cell lengths 4.9527, 4.9527, 4.9527 Å; angles 90.00, 90.00, 90.00 degrees
Fractional coordinates of all 5 atoms:
Ti  0.0000  0.0000  0.5000
Ti  0.0000  0.5000  0.0000
Ba  0.5000  0.5000  0.5000
As  0.0000  0.0000  0.0000
Ti  0.5000  0.0000  0.0000

- formation enthalpy at 0 K (eV per atom) = 0.28
- DFT total energy (eV per cell) = -28.86


Entry 5:
The following is a PBE calculation of an optimized crystal structure of BaSrCo2, from Alexandria via LeMat-Bulk.

Cell lengths 5.1333, 5.1333, 5.1333 Å; angles 60.00, 60.00, 60.00 degrees
Site moments in Bohr magnetons follow the coordinates.
Fractional coordinates of all 4 atoms:
Co  0.2500  0.2500  0.2500  1.55
Co  0.0000  0.0000  0.0000  1.57
Ba  0.5000  0.5000  0.5000  -0.17
Sr  0.7500  0.7500  0.7500  -0.12

- formation enthalpy at 0 K (eV per atom) = 0.89
- DFT total energy (eV per cell) = -14.25


Entry 6:
The following is a PBE calculation of an optimized crystal structure of TmNpS2O, from Alexandria via LeMat-Bulk.

Cell lengths 3.8212, 3.8212, 13.5384 Å; angles 90.00, 90.00, 90.00 degrees
Site moments in Bohr magnetons follow the coordinates.
Fractional coordinates of all 10 atoms:
S  0.5000  0.0000  0.9062  0.00
S  0.0000  0.5000  0.6937  -0.05
O  0.0000  0.0000  0.5000  -0.10
Np  0.0000  0.5000  0.4054  3.68
S  0.0000  0.5000  0.0938  0.00
Np  0.5000  0.0000  0.5946  3.68
Tm  0.0000  0.5000  0.8839  0.02
O  0.5000  0.5000  0.5000  -0.10
S  0.5000  0.0000  0.3063  -0.05
Tm  0.5000  0.0000  0.1161  0.02

- DFT total energy (eV per cell) = -83.58


Entry 7:
The following is a PBE calculation of an optimized crystal structure of ZrInW2, from Alexandria via LeMat-Bulk.

Cell lengths 10.1906, 10.1906, 10.1906 Å; angles 16.62, 16.62, 16.62 degrees
Fractional coordinates of all 4 atoms:
W  0.4973  0.4973  0.4973
Zr  0.2500  0.2500  0.2500
W  0.0027  0.0027  0.0027
In  0.7500  0.7500  0.7500

- formation enthalpy at 0 K (eV per atom) = 0.59
- DFT total energy (eV per cell) = -34.85


Entry 8:
The following is a PBE calculation of an optimized crystal structure of NiSb4Br, from Alexandria via LeMat-Bulk.

Cell lengths 6.2216, 6.2216, 6.2216 Å; angles 60.00, 60.00, 60.00 degrees
Site moments in Bohr magnetons follow the coordinates.
Fractional coordinates of all 6 atoms:
Sb  0.3812  0.8565  0.3812  0.02
Sb  0.8565  0.3812  0.3812  0.02
Br  0.7500  0.7500  0.7500  0.03
Sb  0.3812  0.3812  0.3812  0.02
Sb  0.3812  0.3812  0.8565  0.02
Ni  0.0000  0.0000  0.0000  0.84

- DFT total energy (eV per cell) = -20.27


Entry 9:
The following is a PBE calculation of an optimized crystal structure of Sm2ThOs9, from Alexandria via LeMat-Bulk.

Cell lengths 5.4129, 5.2906, 9.3173 Å; angles 73.62, 73.92, 60.74 degrees
Fractional coordinates of all 12 atoms:
Os  0.4113  0.4206  0.2542
Os  0.6053  0.6921  0.0107
Sm  0.8556  0.8601  0.4224
Sm  0.1444  0.1399  0.5776
Os  0.3947  0.3079  0.9893
Os  0.5887  0.5794  0.7458
Os  0.0508  0.5921  0.7676
Os  0.9492  0.4079  0.2324
Th  0.0000  0.0000  0.0000
Os  0.4088  0.9174  0.2538
Os  0.5912  0.0826  0.7462
Os  0.5000  0.5000  0.5000

- formation enthalpy at 0 K (eV per atom) = -0.06
- DFT total energy (eV per cell) = -118.65


Entry 10:
The following is a PBE calculation of an optimized crystal structure of Ca3U3IrN8, from Alexandria via LeMat-Bulk.

Cell lengths 6.7468, 6.7464, 6.8690 Å; angles 119.40, 90.00, 120.00 degrees
Site moments in Bohr magnetons follow the coordinates.
Fractional coordinates of all 15 atoms:
N  0.2641  0.0315  0.2991  -0.04
U  0.0000  0.5000  0.5000  1.03
N  0.2325  0.9685  0.7009  -0.04
U  0.5000  0.5000  0.5000  1.03
N  0.7359  0.9685  0.7009  -0.04
Ca  0.0000  0.0000  0.0000  0.01
Ca  0.0000  0.5000  0.0000  0.01
N  0.7675  0.0315  0.2991  -0.04
Ca  0.5000  0.5000  0.0000  0.01
Ir  0.0000  0.0000  0.5000  0.01
N  0.2324  0.4648  0.7007  -0.04
U  0.5000  0.0000  0.5000  1.03
N  0.7676  0.5352  0.2993  -0.04
N  0.2586  0.5172  0.2761  -0.05
N  0.7414  0.4828  0.7239  -0.05

- DFT total energy (eV per cell) = -130.12


Entry 11:
The following is a PBE calculation of an optimized crystal structure of ZnIr2Rh5, from Alexandria via LeMat-Bulk.

Cell lengths 3.8540, 3.8540, 8.1531 Å; angles 103.67, 103.67, 90.00 degrees
Fractional coordinates of all 8 atoms:
Ir  0.2490  0.2490  0.4979
Rh  0.6269  0.1269  0.2538
Zn  0.0000  0.0000  0.0000
Rh  0.8731  0.3731  0.7462
Rh  0.1269  0.6269  0.2538
Rh  0.3731  0.8731  0.7462
Rh  0.5000  0.5000  0.0000
Ir  0.7510  0.7510  0.5021

- formation enthalpy at 0 K (eV per atom) = -0.07
- DFT total energy (eV per cell) = -56.32


Entry 12:
The following is a PBE calculation of an optimized crystal structure of LiNd2Al, from Alexandria via LeMat-Bulk.

Cell lengths 5.3099, 5.3099, 5.3099 Å; angles 60.00, 60.00, 60.00 degrees
Fractional coordinates of all 4 atoms:
Nd  0.7500  0.7500  0.7500
Al  0.5000  0.5000  0.5000
Nd  0.2500  0.2500  0.2500
Li  0.0000  0.0000  0.0000

- formation enthalpy at 0 K (eV per atom) = -0.19
- DFT total energy (eV per cell) = -15.95


- What is the DFT total energy in the ninth record?
  -118.65 eV per cell


- What is the DFT total energy in the ninth record?
  -118.65 eV per cell


- Look up the DFT total energy of the twelfth one.
  -15.95 eV per cell


Please write out number 7 again, unchanged.
The following is a PBE calculation of an optimized crystal structure of ZrInW2, from Alexandria via LeMat-Bulk.

Cell lengths 10.1906, 10.1906, 10.1906 Å; angles 16.62, 16.62, 16.62 degrees
Fractional coordinates of all 4 atoms:
W  0.4973  0.4973  0.4973
Zr  0.2500  0.2500  0.2500
W  0.0027  0.0027  0.0027
In  0.7500  0.7500  0.7500

- formation enthalpy at 0 K (eV per atom) = 0.59
- DFT total energy (eV per cell) = -34.85